Entry 1:
Entry from Alexandria: a relaxed structure of LiHo6Cd5 (GGA-PBE).

Calculated values
As for the calculated volume: 309 Å³ per cell. The formation energy comes out at -253 meV per atom. The final energy is -3.083 eV/atom. As for the theoretical density: 8.375 g/cm³.

abc: 8.3122 8.3122 7.4640
angles: 90.00 90.00 143.19
Atoms (fractional coordinates):
1 Li 0.0000 0.0000 0.0000
2 Ho 0.1668 0.8332 0.2477
3 Ho 0.1668 0.8332 0.7523
4 Ho 0.5000 0.5000 0.2503
5 Ho 0.5000 0.5000 0.7497
6 Ho 0.8332 0.1668 0.2477
7 Ho 0.8332 0.1668 0.7523
8 Cd 0.0000 0.0000 0.5000
9 Cd 0.3333 0.6667 0.5000
10 Cd 0.3382 0.6618 0.0000
11 Cd 0.6618 0.3382 0.0000
12 Cd 0.6667 0.3333 0.5000


Entry 2:
Entry from Alexandria: a relaxed structure of LiHo6Cd (GGA-PBE).

Calculated values
As for the calculated volume: 228 Å³ per cell. The formation energy comes out at 83 meV per atom. The final energy is -3.703 eV/atom. As for the theoretical density: 8.083 g/cm³.

abc: 6.1119 6.1143 6.1152
angles: 92.37 92.72 92.60
Atoms (fractional coordinates):
1 Li 0.0000 0.0000 0.0000
2 Ho 0.0266 0.5322 0.7502
3 Ho 0.2496 0.9730 0.4676
4 Ho 0.4681 0.2496 0.9727
5 Ho 0.5319 0.7504 0.0273
6 Ho 0.7504 0.0270 0.5324
7 Ho 0.9734 0.4678 0.2498
8 Cd 0.5000 0.5000 0.5000


Entry 3:
Entry from Alexandria: a relaxed structure of Li2HoCd8 (GGA-PBE).

Calculated values
As for the calculated volume: 239 Å³ per cell. The formation energy comes out at -179 meV per atom. The final energy is -1.609 eV/atom. As for the theoretical density: 7.475 g/cm³.

abc: 8.0423 8.0423 6.9233
angles: 104.59 104.59 33.67
Atoms (fractional coordinates):
1 Li 0.2401 0.2401 0.1525
2 Li 0.7599 0.7599 0.8475
3 Ho 0.5000 0.5000 0.5000
4 Cd 0.0555 0.0555 0.2336
5 Cd 0.1371 0.1371 0.7175
6 Cd 0.3086 0.3086 0.5964
7 Cd 0.4031 0.4031 0.0246
8 Cd 0.5969 0.5969 0.9754
9 Cd 0.6914 0.6914 0.4036
10 Cd 0.8629 0.8629 0.2825
11 Cd 0.9445 0.9445 0.7664


Entry 4:
Entry from Alexandria: a relaxed structure of LiHoCd3 (GGA-PBE).

Calculated values
As for the calculated volume: 229 Å³ per cell. The formation energy comes out at -170 meV per atom. The final energy is -2.017 eV/atom. As for the theoretical density: 7.388 g/cm³.

abc: 13.9018 13.9018 4.9709
angles: 94.57 94.57 13.83
Atoms (fractional coordinates):
1 Li 0.1307 0.1307 0.3038
2 Li 0.8693 0.8693 0.6962
3 Ho 0.4259 0.4259 0.2184
4 Ho 0.5741 0.5741 0.7816
5 Cd 0.0303 0.0303 0.2629
6 Cd 0.1772 0.1772 0.8208
7 Cd 0.2848 0.2848 0.6845
8 Cd 0.7152 0.7152 0.3155
9 Cd 0.8228 0.8228 0.1792
10 Cd 0.9697 0.9697 0.7371


Entry 5:
Entry from Alexandria: a relaxed structure of Li3Ho2Cd4 (GGA-PBE).

Calculated values
As for the calculated volume: 395 Å³ per cell. Its energy above the most stable polymorph in this dataset is 15 meV per atom. The formation energy comes out at -205 meV per atom. The final energy is -2.267 eV/atom. As for the theoretical density: 6.737 g/cm³.

abc: 8.4975 8.4975 8.3572
angles: 90.00 90.00 139.17
Atoms (fractional coordinates):
1 Li 0.0000 0.0000 0.0000
2 Li 0.0257 0.4743 0.2500
3 Li 0.4743 0.0257 0.7500
4 Li 0.5000 0.5000 0.5000
5 Li 0.5257 0.9743 0.2500
6 Li 0.9743 0.5257 0.7500
7 Ho 0.1103 0.8897 0.4090
8 Ho 0.3897 0.6103 0.9090
9 Ho 0.6103 0.3897 0.0910
10 Ho 0.8897 0.1103 0.5910
11 Cd 0.1812 0.8188 0.0283
12 Cd 0.1952 0.3048 0.2500
13 Cd 0.3048 0.1952 0.7500
14 Cd 0.3188 0.6812 0.5283
15 Cd 0.6812 0.3188 0.4717
16 Cd 0.6952 0.8048 0.2500
17 Cd 0.8048 0.6952 0.7500
18 Cd 0.8188 0.1812 0.9717


Entry 6:
Entry from Alexandria: a relaxed structure of Li2Ho2Cd3 (GGA-PBE).

Calculated values
As for the calculated volume: 161 Å³ per cell. The formation energy comes out at -236 meV per atom. The final energy is -2.483 eV/atom. As for the theoretical density: 7.028 g/cm³.

abc: 13.4284 13.4284 3.4146
angles: 90.00 90.00 164.85
Atoms (fractional coordinates):
1 Li 0.2114 0.7886 0.0000
2 Li 0.7886 0.2114 0.0000
3 Ho 0.0802 0.9198 0.0000
4 Ho 0.9198 0.0802 0.0000
5 Cd 0.3410 0.6590 0.5000
6 Cd 0.5000 0.5000 0.5000
7 Cd 0.6590 0.3410 0.5000


Entry 7:
Entry from Alexandria: a relaxed structure of Li2HoCd6 (GGA-PBE).

Calculated values
As for the calculated volume: 205 Å³ per cell. The formation energy comes out at -196 meV per atom. The final energy is -1.740 eV/atom. As for the theoretical density: 6.926 g/cm³.

abc: 8.5658 8.5658 3.2194
angles: 90.00 90.00 120.00
Atoms (fractional coordinates):
1 Li 0.3333 0.6667 0.0000
2 Li 0.6667 0.3333 0.0000
3 Ho 0.0000 0.0000 0.0000
4 Cd 0.0000 0.3377 0.5000
5 Cd 0.0000 0.6623 0.5000
6 Cd 0.3377 0.0000 0.5000
7 Cd 0.3377 0.3377 0.5000
8 Cd 0.6623 0.0000 0.5000
9 Cd 0.6623 0.6623 0.5000


Entry 8:
Entry from Alexandria: a relaxed structure of LiHo5Cd4 (GGA-PBE).

Calculated values
As for the calculated volume: 258 Å³ per cell. The formation energy comes out at -225 meV per atom. The final energy is -3.071 eV/atom. As for the theoretical density: 8.247 g/cm³.

abc: 3.7235 3.7235 18.6067
angles: 90.00 90.00 90.00
Atoms (fractional coordinates):
1 Li 0.0000 0.0000 0.0000
2 Ho 0.5000 0.5000 0.0997
3 Ho 0.5000 0.5000 0.2990
4 Ho 0.5000 0.5000 0.5000
5 Ho 0.5000 0.5000 0.7010
6 Ho 0.5000 0.5000 0.9003
7 Cd 0.0000 0.0000 0.1977
8 Cd 0.0000 0.0000 0.3993
9 Cd 0.0000 0.0000 0.6007
10 Cd 0.0000 0.0000 0.8023


Entry 9:
Entry from Alexandria: a relaxed structure of Li2HoCd7 (GGA-PBE).

Calculated values
As for the calculated volume: 221 Å³ per cell. The formation energy comes out at -127 meV per atom. The final energy is -1.608 eV/atom. As for the theoretical density: 7.252 g/cm³.

abc: 4.8850 4.8850 10.6995
angles: 90.00 90.00 120.00
Atoms (fractional coordinates):
1 Li 0.0000 0.0000 0.0000
2 Li 0.3333 0.6667 0.8324
3 Ho 0.6667 0.3333 0.3198
4 Cd 0.0000 0.0000 0.2274
5 Cd 0.0000 0.0000 0.4975
6 Cd 0.0000 0.0000 0.7624
7 Cd 0.3333 0.6667 0.1193
8 Cd 0.3333 0.6667 0.4678
9 Cd 0.6667 0.3333 0.6389
10 Cd 0.6667 0.3333 0.9459


Entry 10:
Entry from Alexandria: a relaxed structure of LiHo2Cd6 (GGA-PBE).

Calculated values
As for the calculated volume: 212 Å³ per cell. The formation energy comes out at -252 meV per atom. The final energy is -2.092 eV/atom. As for the theoretical density: 7.927 g/cm³.

abc: 8.6032 8.6032 3.3050
angles: 90.00 90.00 120.00
Atoms (fractional coordinates):
1 Li 0.0000 0.0000 0.0000
2 Ho 0.3333 0.6667 0.0000
3 Ho 0.6667 0.3333 0.0000
4 Cd 0.0000 0.3292 0.5000
5 Cd 0.0000 0.6708 0.5000
6 Cd 0.3292 0.0000 0.5000
7 Cd 0.3292 0.3292 0.5000
8 Cd 0.6708 0.0000 0.5000
9 Cd 0.6708 0.6708 0.5000


Entry 11:
Entry from Alexandria: a relaxed structure of Li6HoCd6 (GGA-PBE).

Calculated values
As for the calculated volume: 254 Å³ per cell. The formation energy comes out at -195 meV per atom. The final energy is -1.853 eV/atom. As for the theoretical density: 5.750 g/cm³.

abc: 7.4211 7.4211 7.4211
angles: 138.21 97.95 96.66
Atoms (fractional coordinates):
1 Li 0.0000 0.0000 0.5000
2 Li 0.0000 0.5000 0.0000
3 Li 0.2242 0.2242 0.0000
4 Li 0.5000 0.0000 0.0000
5 Li 0.5000 0.5000 0.5000
6 Li 0.7758 0.7758 0.0000
7 Ho 0.0000 0.5000 0.5000
8 Cd 0.1919 0.0000 0.1919
9 Cd 0.3413 0.8413 0.5000
10 Cd 0.3471 0.5000 0.8471
11 Cd 0.6529 0.5000 0.1529
12 Cd 0.6587 0.1587 0.5000
13 Cd 0.8081 0.0000 0.8081


Entry 12:
Entry from Alexandria: a relaxed structure of LiHoCd6 (GGA-PBE).

Calculated values
As for the calculated volume: 179 Å³ per cell. The formation energy comes out at -200 meV per atom. The final energy is -1.698 eV/atom. As for the theoretical density: 7.863 g/cm³.

abc: 4.5766 4.5766 8.5330
angles: 90.00 90.00 90.00
Atoms (fractional coordinates):
1 Li 0.0000 0.0000 0.0000
2 Ho 0.0000 0.0000 0.5000
3 Cd 0.0000 0.5000 0.2352
4 Cd 0.0000 0.5000 0.7648
5 Cd 0.5000 0.0000 0.2352
6 Cd 0.5000 0.0000 0.7648
7 Cd 0.5000 0.5000 0.0000
8 Cd 0.5000 0.5000 0.5000


Which value of calculated volume does entry 3 give?
239 Å³ per cell


Repeat the sixth record exactly.
Entry from Alexandria: a relaxed structure of Li2Ho2Cd3 (GGA-PBE).

Calculated values
As for the calculated volume: 161 Å³ per cell. The formation energy comes out at -236 meV per atom. The final energy is -2.483 eV/atom. As for the theoretical density: 7.028 g/cm³.

abc: 13.4284 13.4284 3.4146
angles: 90.00 90.00 164.85
Atoms (fractional coordinates):
1 Li 0.2114 0.7886 0.0000
2 Li 0.7886 0.2114 0.0000
3 Ho 0.0802 0.9198 0.0000
4 Ho 0.9198 0.0802 0.0000
5 Cd 0.3410 0.6590 0.5000
6 Cd 0.5000 0.5000 0.5000
7 Cd 0.6590 0.3410 0.5000